Computed, not measured: crystalline MgAg14Sn at its relaxed geometry at the PBE level of DFT.

Results
Total moment in μB per atom: 0.00
Energy of formation in meV per atom: -18

abc: 5.9508 5.9508 8.2393
angles: 90.00 90.00 90.00
Space group P4/mmm (No. 123)
Asymmetric unit:
Mg (0.0000, 0.0000, 0.0000)
Ag (0.0000, 0.0000, 0.5000)
Ag (0.0000, 0.5000, 0.0000)
Ag (0.0000, 0.5000, 0.5000)
Ag (0.2470, 0.2470, 0.2536)
Ag (0.5000, 0.5000, 0.5000)
Sn (0.5000, 0.5000, 0.0000)

---

Computed, not measured: crystalline Mg3Ag5Sn at its relaxed geometry at the PBE level of DFT.

Results
Total moment in μB per atom: 0.00
Energy of formation in meV per atom: -128
Polymorph energy (0 for the lowest one) in meV/atom: 0

abc: 8.2691 8.2691 5.8439
angles: 90.00 90.00 120.00
Space group P6_3/mcm (No. 193)
Asymmetric unit:
Mg (0.0000, 0.3543, 0.2500)
Ag (0.0000, 0.3238, 0.7500)
Ag (0.3333, 0.6667, 0.0000)
Sn (0.0000, 0.0000, 0.0000)

---

Computed, not measured: crystalline Mg2Ag2Sn at its relaxed geometry at the PBE level of DFT.

Results
Total moment in μB per atom: 0.00
Energy of formation in meV per atom: -6
Polymorph energy (0 for the lowest one) in meV/atom: 144

abc: 3.8945 3.8945 14.7503
angles: 90.00 90.00 90.00
Space group I4/mmm (No. 139)
Asymmetric unit:
Mg (0.0000, 0.0000, 0.1050)
Ag (0.0000, 0.5000, 0.2500)
Sn (0.0000, 0.0000, 0.5000)

---

Computed, not measured: crystalline Mg3Ag3Sn at its relaxed geometry at the PBE level of DFT.

Results
Total moment in μB per atom: 0.00
Energy of formation in meV per atom: -151
Polymorph energy (0 for the lowest one) in meV/atom: 0

abc: 8.0963 8.0963 4.9171
angles: 90.00 90.00 120.00
Space group P6_3/m (No. 176)
Asymmetric unit:
Mg (0.0935, 0.6458, 0.2500)
Ag (0.0451, 0.8124, 0.7500)
Sn (0.3333, 0.6667, 0.7500)

---

Computed, not measured: crystalline Mg6AgSn at its relaxed geometry at the PBE level of DFT.

Results
Total moment in μB per atom: 0.00
Energy of formation in meV per atom: -102
Polymorph energy (0 for the lowest one) in meV/atom: 13

abc: 6.2701 6.2701 5.0427
angles: 90.00 90.00 120.00
Space group P-6m2 (No. 187)
Asymmetric unit:
Mg (0.0025, 0.5012, 0.0000)
Mg (0.1619, 0.3237, 0.5000)
Ag (0.0000, 0.0000, 0.0000)
Sn (0.6667, 0.3333, 0.5000)

---

Computed, not measured: crystalline Mg3Ag4Sn2 at its relaxed geometry at the PBE level of DFT.

Results
Total moment in μB per atom: 0.00
Energy of formation in meV per atom: -82

abc: 9.3208 4.5994 9.0547
angles: 90.00 92.94 90.00
Space group C2/m (No. 12)
Asymmetric unit:
Mg (0.0000, 0.0000, 0.0000)
Mg (0.1425, 0.5000, 0.4329)
Ag (0.0742, 0.0000, 0.6320)
Ag (0.2057, 0.5000, 0.1138)
Sn (0.1023, 0.5000, 0.8083)

---

Computed, not measured: crystalline MgAgSn2 at its relaxed geometry at the PBE level of DFT.

Results
Total moment in μB per atom: 0.00
Energy of formation in meV per atom: 90

abc: 3.2246 3.2246 33.0196
angles: 90.00 90.00 120.00
Space group R-3m (No. 166, hexagonal axes)
Asymmetric unit:
Mg (0.0000, 0.0000, 0.0000)
Ag (0.0000, 0.0000, 0.5000)
Sn (0.0000, 0.0000, 0.0932)

---

Computed, not measured: crystalline MgAg4Sn at its relaxed geometry at the PBE level of DFT.

Results
Total moment in μB per atom: 0.00
Energy of formation in meV per atom: -89
Polymorph energy (0 for the lowest one) in meV/atom: 0

abc: 9.3877 4.0799 6.2537
angles: 90.00 106.80 90.00
Space group C2/m (No. 12)
Asymmetric unit:
Mg (0.0000, 0.0000, 0.0000)
Ag (0.1668, 0.5000, 0.8459)
Ag (0.1680, 0.5000, 0.3246)
Sn (0.0000, 0.0000, 0.5000)

---

Computed, not measured: crystalline MgAg3Sn2 at its relaxed geometry at the PBE level of DFT.

Results
Total moment in μB per atom: 0.00
Energy of formation in meV per atom: -17

abc: 9.9639 8.9472 5.8369
angles: 90.00 90.00 90.00
Space group Cmcm (No. 63)
Asymmetric unit:
Mg (0.0000, 0.2243, 0.2500)
Ag (0.0000, 0.5000, 0.0000)
Ag (0.1542, 0.0000, 0.0000)
Sn (0.1684, 0.2842, 0.7500)

---

Computed, not measured: crystalline MgAg4Sn at its relaxed geometry at the PBE level of DFT.

Results
Total moment in μB per atom: 0.00
Energy of formation in meV per atom: -79
Polymorph energy (0 for the lowest one) in meV/atom: 10

abc: 5.1915 8.9595 5.1793
angles: 90.00 107.93 90.00
Space group C2/m (No. 12)
Asymmetric unit:
Mg (0.0000, 0.0000, 0.0000)
Ag (0.0000, 0.1651, 0.5000)
Ag (0.0000, 0.3295, 0.0000)
Sn (0.0000, 0.5000, 0.5000)

---

Computed, not measured: crystalline Mg3AgSn at its relaxed geometry at the PBE level of DFT.

Results
Total moment in μB per atom: 0.00
Energy of formation in meV per atom: -127
Polymorph energy (0 for the lowest one) in meV/atom: 0

abc: 3.1278 9.1496 7.8493
angles: 90.00 90.19 90.00
Space group Pm (No. 6)
Asymmetric unit:
Mg (0.0000, 0.0000, 0.0000)
Mg (0.0007, 0.5000, 0.1392)
Mg (0.0027, 0.2000, 0.3670)
Mg (0.9988, 0.3002, 0.7724)
Ag (0.5002, 0.2500, 0.0696)
Sn (0.5011, 0.5000, 0.5080)
Sn (0.5023, 0.0000, 0.6313)

---

Computed, not measured: crystalline MgAgSn2 at its relaxed geometry at the PBE level of DFT.

Results
Total moment in μB per atom: 0.00
Energy of formation in meV per atom: -2

abc: 4.6350 4.6350 16.3589
angles: 90.00 90.00 120.00
Space group R3m (No. 160, hexagonal axes)
Asymmetric unit:
Mg (0.0000, 0.0000, 0.0000)
Ag (0.0000, 0.0000, 0.1771)
Sn (0.0000, 0.0000, 0.5808)
Sn (0.0000, 0.0000, 0.7730)

---

Computed, not measured: crystalline Mg4Ag3Sn at its relaxed geometry at the PBE level of DFT.

Results
Total moment in μB per atom: 0.00
Energy of formation in meV per atom: -196

abc: 4.8120 4.8120 23.6479
angles: 90.00 90.00 120.00
Space group R-3m (No. 166, hexagonal axes)
Asymmetric unit:
Mg (0.0000, 0.0000, 0.1196)
Mg (0.0000, 0.0000, 0.3712)
Ag (0.0000, 0.0000, 0.0000)
Ag (0.0000, 0.0000, 0.2524)
Sn (0.0000, 0.0000, 0.5000)

---

Computed, not measured: crystalline Mg3Ag8Sn2 at its relaxed geometry at the PBE level of DFT.

Results
Total moment in μB per atom: 0.00
Energy of formation in meV per atom: -1

abc: 5.5379 5.5379 30.8446
angles: 90.00 90.00 120.00
Space group R-3m (No. 166, hexagonal axes)
Asymmetric unit:
Mg (0.0000, 0.0000, 0.0000)
Mg (0.0000, 0.0000, 0.1840)
Ag (0.0000, 0.0000, 0.2714)
Ag (0.0016, 0.5008, 0.7743)
Sn (0.0000, 0.0000, 0.3615)

---

Computed, not measured: crystalline Mg2Ag4Sn at its relaxed geometry at the PBE level of DFT.

Results
Total moment in μB per atom: 0.00
Energy of formation in meV per atom: -86
Polymorph energy (0 for the lowest one) in meV/atom: 0

abc: 3.7348 4.4938 17.1857
angles: 90.00 90.00 90.00
Space group Immm (No. 71)
Asymmetric unit:
Mg (0.0000, 0.0000, 0.1174)
Ag (0.0000, 0.0000, 0.3714)
Ag (0.0000, 0.5000, 0.2570)
Sn (0.0000, 0.5000, 0.0000)

---

Computed, not measured: crystalline Mg7Ag2Sn3 at its relaxed geometry at the PBE level of DFT.

Results
Total moment in μB per atom: 0.00
Energy of formation in meV per atom: -2

abc: 4.5249 29.9975 4.1777
angles: 90.00 90.00 90.00
Space group Cmmm (No. 65)
Asymmetric unit:
Mg (0.0000, 0.0000, 0.0000)
Mg (0.0000, 0.0756, 0.5000)
Mg (0.0000, 0.2197, 0.0000)
Mg (0.0000, 0.4208, 0.0000)
Ag (0.0000, 0.1323, 0.0000)
Sn (0.0000, 0.3325, 0.5000)
Sn (0.0000, 0.5000, 0.5000)

---

Computed, not measured: crystalline MgAgSn2 at its relaxed geometry at the PBE level of DFT.

Results
Total moment in μB per atom: 0.00
Energy of formation in meV per atom: 80

abc: 8.2043 8.2043 5.9629
angles: 90.00 90.00 90.00
Space group I-42d (No. 122)
Asymmetric unit:
Mg (0.0000, 0.0000, 0.0000)
Ag (0.0000, 0.0000, 0.5000)
Sn (0.2175, 0.7500, 0.6250)

---

Computed, not measured: crystalline MgAg8Sn2 at its relaxed geometry at the PBE level of DFT.

Results
Total moment in μB per atom: 0.00
Energy of formation in meV per atom: -25
Polymorph energy (0 for the lowest one) in meV/atom: 0

abc: 14.4058 4.5507 7.0526
angles: 90.00 113.94 90.00
Space group C2/m (No. 12)
Asymmetric unit:
Mg (0.0000, 0.0000, 0.0000)
Ag (0.0409, 0.5000, 0.7343)
Ag (0.0858, 0.0000, 0.4457)
Ag (0.1357, 0.5000, 0.1769)
Ag (0.1765, 0.0000, 0.9015)
Sn (0.2217, 0.5000, 0.6482)

---

Computed, not measured: crystalline Mg2Ag7Sn at its relaxed geometry at the PBE level of DFT.

Results
Total moment in μB per atom: 0.00
Energy of formation in meV per atom: 218

abc: 7.3939 14.7417 4.4151
angles: 90.00 90.00 90.00
Space group Cmmm (No. 65)
Asymmetric unit:
Mg (0.0000, 0.2008, 0.0000)
Ag (0.0000, 0.0000, 0.0000)
Ag (0.0000, 0.3087, 0.5000)
Ag (0.1879, 0.3967, 0.0000)
Sn (0.0000, 0.5000, 0.5000)

---

Computed, not measured: crystalline MgAg7Sn2 at its relaxed geometry at the PBE level of DFT.

Results
Total moment in μB per atom: 0.00
Energy of formation in meV per atom: 156

abc: 7.6312 14.1916 4.4959
angles: 90.00 90.00 90.00
Space group Cmmm (No. 65)
Asymmetric unit:
Mg (0.0000, 0.0000, 0.0000)
Ag (0.0000, 0.1948, 0.0000)
Ag (0.0000, 0.5000, 0.5000)
Ag (0.1803, 0.1014, 0.5000)
Sn (0.0000, 0.3031, 0.5000)

---

Computed, not measured: crystalline MgAg6Sn2 at its relaxed geometry at the PBE level of DFT.

Results
Total moment in μB per atom: 0.00
Energy of formation in meV per atom: -49
Polymorph energy (0 for the lowest one) in meV/atom: 0

abc: 8.9228 8.9228 4.3923
angles: 90.00 90.00 90.00
Space group P4_2/mnm (No. 136)
Asymmetric unit:
Mg (0.0000, 0.0000, 0.0000)
Ag (0.0021, 0.3345, 0.0000)
Ag (0.1641, 0.8359, 0.5000)
Sn (0.1714, 0.1714, 0.5000)

---

Computed, not measured: crystalline Mg4Ag2Sn at its relaxed geometry at the PBE level of DFT.

Results
Total moment in μB per atom: 0.00
Energy of formation in meV per atom: -114
Polymorph energy (0 for the lowest one) in meV/atom: 0

abc: 4.7589 4.7589 23.3838
angles: 90.00 90.00 120.00
Space group R-3m (No. 166, hexagonal axes)
Asymmetric unit:
Mg (0.0000, 0.0000, 0.1092)
Mg (0.0000, 0.0000, 0.3682)
Ag (0.0000, 0.0000, 0.2497)
Sn (0.0000, 0.0000, 0.5000)

---

no.,raw total energy (eV/atom),mass density (kg/m³)
1,-2.8623,9409
2,-2.6882,7015
3,-2.5852,5687
4,-2.6280,6130
5,-2.1543,3601
6,-2.7702,6355
7,-3.0224,6192
8,-2.9228,8321
9,-3.0431,7471
10,-2.9132,8324
11,-2.4546,4428
12,-3.1148,6049
13,-2.5628,5668
14,-2.7389,7135
15,-2.7426,6895
16,-2.4081,4346
17,-3.0326,6116
18,-2.9712,8839
19,-2.4975,6366
20,-2.7997,6935
21,-3.0163,8632
22,-2.4117,4689